A plane-wave DFT calculation with PBE-GGA was carried out for LiAl6Re after structural relaxation.

Unit cell a=5.472 b=5.472 c=5.401 alpha=71.39 beta=71.39 gamma=107.32
Positions (direct):
1 Li 0.500 0.500 0.500
2 Al 0.253 0.753 0.247
3 Al 0.753 0.253 0.247
4 Al 0.247 0.747 0.753
5 Al 0.747 0.247 0.753
6 Al 0.249 0.249 0.247
7 Al 0.751 0.751 0.753
8 Re 0.000 0.000 0.000

Results
* DOS(E_F): 4.46 states/eV per cell
* mass density: 4.531 g cm⁻³
* formation energy from the elements: 0.11 eV per atom